{
  "formula": "NiCl5",
  "functional": "GGA-PBE",
  "state": "optimized geometry",
  "e_tot_ev_per_atom": -1.56,
  "raw_formation_energy_ev_per_atom": 0.946,
  "volume_a3_per_cell": 130.23,
  "dos_ef_per_ev_cell": 13.24,
  "cell": [[4.258, -3.315, 1.802], [-0.031, -2.033, 5.314], [-0.903, -5.541, 0.921]],
  "species": ["Ni", "Cl", "Cl", "Cl", "Cl", "Cl"],
  "fractional_positions": [[0.000, 0.000, 0.000], [0.250, 0.250, 0.250], [0.625, 0.625, 0.625], [0.625, 0.625, 0.124], [0.124, 0.625, 0.625], [0.625, 0.124, 0.625]]
}